## InNiP2O (GGA+U)

Data for an optimized crystal structure of InNiP2O.

Magnetization: 0.6 μB per cell
Energy: -2.949 eV per atom

abc: 5.0816 5.0816 3.8960
angles: 90.00 90.00 90.00
With the nearest neighbours (Å) after each atom.
Element x y z (fractional)
In  0.0000  0.0000  0.0000  2 O 1.95
Ni  0.5000  0.5000  0.5000  8 P 3.20
P  0.0000  0.5000  0.0000  2 In 2.54
P  0.5000  0.0000  0.0000  2 In 2.54
O  0.0000  0.0000  0.5000  2 In 1.95